Entry 1:
{"formula": "CsRb6Au4", "functional": "PBE", "state": "relaxed", "cell": [[-5.117, 2.558, -0.862], [-2.333, -3.263, 4.168], [7.398, 11.273, 8.951]], "species": ["Rb", "Rb", "Rb", "Rb", "Rb", "Rb", "Au", "Au", "Au", "Au", "Cs"], "frac_coords": [[0.113, 0.613, 0.226], [0.250, 0.750, 0.500], [0.613, 0.113, 0.226], [0.887, 0.387, 0.774], [0.387, 0.887, 0.774], [0.750, 0.250, 0.500], [0.181, 0.181, 0.362], [0.455, 0.455, 0.910], [0.819, 0.819, 0.638], [0.545, 0.545, 0.090], [0.000, 0.000, 0.000]], "space_group": "No. 139", "e_tot_ev_per_cell": -21.8, "formation_enthalpy_0k_ev_per_atom": -0.19}

=====

Entry 2:
{"formula": "MgTi", "functional": "PBE", "state": "relaxed", "cell": [[-2.803, -0.488, -3.901], [-4.595, -1.600, 3.502], [-4.405, 15.369, 1.242]], "species": ["Mg", "Mg", "Mg", "Mg", "Mg", "Mg", "Mg", "Mg", "Mg", "Mg", "Mg", "Mg", "Ti", "Ti", "Ti", "Ti", "Ti", "Ti", "Ti", "Ti", "Ti", "Ti", "Ti", "Ti"], "frac_coords": [[0.750, 0.114, 0.136], [0.750, 0.370, 0.309], [0.750, 0.629, 0.135], [0.750, 0.886, 0.636], [0.750, 0.630, 0.809], [0.250, 0.371, 0.865], [0.250, 0.630, 0.691], [0.250, 0.114, 0.364], [0.750, 0.371, 0.635], [0.250, 0.629, 0.365], [0.250, 0.886, 0.864], [0.250, 0.370, 0.191], [0.750, 0.880, 0.976], [0.250, 0.631, 0.028], [0.750, 0.129, 0.805], [0.250, 0.871, 0.195], [0.750, 0.369, 0.972], [0.750, 0.631, 0.472], [0.250, 0.120, 0.024], [0.750, 0.120, 0.476], [0.750, 0.871, 0.305], [0.250, 0.129, 0.695], [0.250, 0.369, 0.528], [0.250, 0.880, 0.524]], "space_group": "No. 57", "e_tot_ev_per_cell": -109.3, "formation_enthalpy_0k_ev_per_atom": 0.19}

=====

Entry 3:
{"formula": "Sm2MgZn10", "functional": "PBE", "state": "relaxed", "cell": [[0.918, 0.496, 5.560], [3.182, -4.563, -0.118], [13.648, 9.391, 4.897]], "species": ["Zn", "Zn", "Zn", "Zn", "Zn", "Zn", "Zn", "Zn", "Zn", "Zn", "Zn", "Zn", "Zn", "Zn", "Zn", "Zn", "Zn", "Zn", "Zn", "Zn", "Sm", "Sm", "Sm", "Sm", "Mg", "Mg"], "frac_coords": [[0.466, 0.863, 0.811], [0.398, 0.159, 0.061], [0.466, 0.637, 0.311], [0.072, 0.368, 0.323], [0.534, 0.363, 0.689], [0.534, 0.137, 0.189], [0.074, 0.877, 0.296], [0.926, 0.123, 0.704], [0.886, 0.030, 0.452], [0.602, 0.841, 0.939], [0.926, 0.377, 0.204], [0.114, 0.970, 0.548], [0.886, 0.470, 0.952], [0.072, 0.132, 0.823], [0.928, 0.868, 0.177], [0.074, 0.623, 0.796], [0.114, 0.530, 0.048], [0.398, 0.341, 0.561], [0.602, 0.659, 0.439], [0.928, 0.632, 0.677], [0.510, 0.139, 0.369], [0.510, 0.361, 0.869], [0.490, 0.861, 0.631], [0.490, 0.639, 0.131], [0.000, 0.500, 0.500], [0.000, 0.000, 0.000]], "space_group": "No. 14", "e_tot_ev_per_cell": -52.3, "formation_enthalpy_0k_ev_per_atom": -0.18}

=====

Entry 4:
{"formula": "Sc2Al2ZnPd5", "functional": "PBE", "state": "relaxed", "cell": [[3.564, 0.000, 0.000], [0.000, 9.657, 0.000], [0.000, 0.000, 9.657]], "species": ["Zn", "Zn", "Al", "Al", "Al", "Al", "Pd", "Pd", "Pd", "Pd", "Pd", "Pd", "Pd", "Pd", "Pd", "Pd", "Sc", "Sc", "Sc", "Sc"], "frac_coords": [[0.000, 0.500, 0.500], [0.000, 0.000, 0.000], [0.000, 0.625, 0.875], [0.000, 0.125, 0.625], [0.000, 0.375, 0.125], [0.000, 0.875, 0.375], [0.500, 0.703, 0.433], [0.500, 0.500, 0.000], [0.500, 0.000, 0.500], [0.500, 0.567, 0.703], [0.500, 0.203, 0.067], [0.500, 0.797, 0.933], [0.500, 0.933, 0.203], [0.500, 0.297, 0.567], [0.500, 0.067, 0.797], [0.500, 0.433, 0.297], [0.000, 0.174, 0.326], [0.000, 0.826, 0.674], [0.000, 0.326, 0.826], [0.000, 0.674, 0.174]], "space_group": "No. 127", "e_tot_ev_per_cell": -109.0, "formation_enthalpy_0k_ev_per_atom": -0.71}

=====

Entry 5:
{"formula": "PmHo2Os", "functional": "PBE", "state": "relaxed", "cell": [[-1.896, -2.498, 1.433], [-0.349, -3.034, -1.601], [8.129, -5.604, 5.135]], "species": ["Ho", "Ho", "Pm", "Os"], "frac_coords": [[0.106, 0.106, 0.681], [0.894, 0.894, 0.319], [0.000, 0.000, 0.000], [0.500, 0.500, 0.500]], "space_group": "No. 166", "e_above_lowest_polymorph_mev_per_atom": 471, "e_tot_ev_per_cell": -24.2, "formation_enthalpy_0k_ev_per_atom": 0.24}

=====

Entry 6:
{"formula": "ZrCu2Si", "functional": "PBE", "state": "relaxed", "cell": [[4.440, -0.016, -0.036], [3.454, 2.790, -0.036], [0.943, 0.331, 4.904]], "species": ["Cu", "Cu", "Si", "Zr"], "frac_coords": [[0.487, 0.487, 0.550], [0.013, 0.013, 0.950], [0.750, 0.750, 0.750], [0.250, 0.250, 0.250]], "space_group": "No. 12", "e_tot_ev_per_cell": -22.7, "formation_energy_uncorrected_ev_per_fu": -0.5}

=====

Entry 7:
{"formula": "Dy3YCd6", "functional": "PBE", "state": "relaxed", "cell": [[-4.336, 2.624, 0.939], [-2.811, -1.565, -8.608], [-3.841, -8.472, 5.939]], "species": ["Dy", "Dy", "Dy", "Dy", "Dy", "Dy", "Cd", "Cd", "Cd", "Cd", "Cd", "Cd", "Cd", "Cd", "Cd", "Cd", "Cd", "Cd", "Y", "Y"], "frac_coords": [[0.250, 0.351, 0.794], [0.750, 0.240, 0.997], [0.250, 0.528, 0.394], [0.750, 0.649, 0.206], [0.250, 0.760, 0.003], [0.750, 0.472, 0.606], [0.750, 0.152, 0.692], [0.250, 0.052, 0.901], [0.750, 0.551, 0.905], [0.750, 0.857, 0.805], [0.750, 0.948, 0.099], [0.250, 0.658, 0.708], [0.250, 0.449, 0.095], [0.250, 0.240, 0.499], [0.750, 0.342, 0.292], [0.250, 0.848, 0.308], [0.750, 0.760, 0.501], [0.250, 0.143, 0.195], [0.750, 0.056, 0.392], [0.250, 0.944, 0.608]], "space_group": "No. 11", "e_tot_ev_per_cell": -57.4, "formation_enthalpy_0k_ev_per_atom": -0.30}

=====

Entry 8:
{"formula": "Al6Ru5Rh", "functional": "PBE", "state": "relaxed", "cell": [[-2.118, 0.465, -3.654], [4.944, -1.513, -3.058], [-2.795, -5.896, -1.602]], "species": ["Ru", "Ru", "Ru", "Ru", "Ru", "Rh", "Al", "Al", "Al", "Al", "Al", "Al"], "frac_coords": [[0.333, 0.000, 0.333], [0.000, 0.500, 0.000], [0.334, 0.500, 0.331], [0.667, 0.000, 0.667], [0.666, 0.500, 0.669], [0.000, 0.000, 0.000], [0.833, 0.251, 0.335], [0.500, 0.750, 0.000], [0.500, 0.250, 0.000], [0.833, 0.749, 0.335], [0.167, 0.251, 0.665], [0.167, 0.749, 0.665]], "space_group": "No. 65", "e_tot_ev_per_cell": -85.2, "formation_enthalpy_0k_ev_per_atom": -0.75}